Here is USn2Rh after structural relaxation from Alexandria. Energies are from PBE-GGA.

a b c (Å): 3.0730 3.0730 10.8981
angles (deg): 81.89 81.89 60.00
Site moments in Bohr magnetons follow the coordinates.
Fractional coordinates of all 4 atoms:
1 Rh 0.0000 0.0000 0.0000  -0.04
2 U 0.5000 0.5000 0.5000  1.67
3 Sn 0.0801 0.0801 0.7598  -0.01
4 Sn 0.9199 0.9199 0.2402  -0.01

Magnetization   0.437 μB/atom
Space group   R-3m, No. 166
Formation enthalpy at 0 K   213 meV per atom

***

Here is GaC2Cl after structural relaxation from Alexandria. Energies are from PBE-GGA.

a b c (Å): 4.1470 4.1470 4.1470
angles (deg): 60.00 60.00 60.00
Fractional coordinates of all 4 atoms:
1 C 0.2500 0.2500 0.2500
2 C 0.7500 0.7500 0.7500
3 Ga 0.5000 0.5000 0.5000
4 Cl 0.0000 0.0000 0.0000

Magnetization   0.000 μB/atom
Space group   Fm-3m, No. 225

***

Here is ZrCr2Os after structural relaxation from Alexandria. Energies are from PBE-GGA.

a b c (Å): 4.3601 4.3601 3.0667
angles (deg): 90.00 90.00 90.00
Site moments in Bohr magnetons follow the coordinates.
Fractional coordinates of all 4 atoms:
1 Cr 0.0000 0.0000 0.0000  0.20
2 Cr 0.5000 0.5000 0.0000  0.20
3 Os 0.5000 0.0000 0.5000  -0.05
4 Zr 0.0000 0.5000 0.5000  -0.04

Magnetization   0.076 μB/atom
Space group   P4/mmm, No. 123
Formation enthalpy at 0 K   122 meV per atom

***

Here is BaHg2P after structural relaxation from Alexandria. Energies are from PBE-GGA.

a b c (Å): 3.7737 4.1918 7.1652
angles (deg): 90.00 90.00 90.00
Fractional coordinates of all 4 atoms:
1 Ba 0.5000 0.5000 0.7167
2 Hg 0.0000 0.0000 0.0616
3 Hg 0.5000 0.5000 0.2501
4 P 0.0000 0.0000 0.4715

Magnetization   0.000 μB/atom
Space group   Pmm2, No. 25
Formation enthalpy at 0 K   -211 meV per atom

***

Here is PuHf2B after structural relaxation from Alexandria. Energies are from PBE-GGA.

a b c (Å): 3.3354 3.3354 9.2225
angles (deg): 79.58 79.58 60.00
Site moments in Bohr magnetons follow the coordinates.
Fractional coordinates of all 4 atoms:
1 B 0.5000 0.5000 0.5000  0.01
2 Hf 0.1188 0.1188 0.6436  -0.02
3 Hf 0.8812 0.8812 0.3564  -0.02
4 Pu 0.0000 0.0000 0.0000  5.76

Magnetization   1.532 μB/atom
Space group   R-3m, No. 166
Formation enthalpy at 0 K   50 meV per atom

***

Here is GaBrF3 after structural relaxation from Alexandria. Energies are from PBE-GGA.

a b c (Å): 4.0737 4.0737 4.0737
angles (deg): 90.00 90.00 90.00
Site moments in Bohr magnetons follow the coordinates.
Fractional coordinates of all 5 atoms:
1 Ga 0.0000 0.0000 0.0000  -0.02
2 Br 0.5000 0.5000 0.5000  0.67
3 F 0.0000 0.5000 0.0000  0.04
4 F 0.0000 0.0000 0.5000  0.05
5 F 0.5000 0.0000 0.0000  0.07

Magnetization   0.202 μB/atom
Space group   Pm-3m, No. 221

***

Here is LaNbZnS after structural relaxation from Alexandria. Energies are from PBE-GGA.

a b c (Å): 3.4726 4.0350 12.2688
angles (deg): 90.00 90.00 90.00
Fractional coordinates of all 8 atoms:
1 S 0.5000 0.0000 0.3575
2 S 0.5000 0.5000 0.8575
3 Nb 0.0000 0.0000 0.5054
4 Nb 0.0000 0.5000 0.0054
5 Zn 0.5000 0.0000 0.0783
6 Zn 0.5000 0.5000 0.5783
7 La 0.0000 0.0000 0.7673
8 La 0.0000 0.5000 0.2673

Magnetization   0.000 μB/atom
Space group   Amm2, No. 38

***

Here is Ac2AlZn3Ga4 after structural relaxation from Alexandria. Energies are from PBE-GGA.

a b c (Å): 4.4578 4.4578 10.7085
angles (deg): 90.00 90.00 90.00
Fractional coordinates of all 10 atoms:
1 Ac 0.5000 0.0000 0.2491
2 Ac 0.0000 0.5000 0.7509
3 Al 0.5000 0.5000 0.5000
4 Zn 0.0000 0.0000 0.5000
5 Zn 0.5000 0.0000 0.8714
6 Zn 0.0000 0.5000 0.1286
7 Ga 0.5000 0.5000 0.0000
8 Ga 0.0000 0.0000 0.0000
9 Ga 0.5000 0.0000 0.6340
10 Ga 0.0000 0.5000 0.3660

Magnetization   0.000 μB/atom
Space group   P-4m2, No. 115
Formation enthalpy at 0 K   -479 meV per atom

***

Here is Dy2ZrAg6 after structural relaxation from Alexandria. Energies are from PBE-GGA.

a b c (Å): 5.2139 8.7830 8.7830
angles (deg): 76.33 81.88 81.88
Fractional coordinates of all 18 atoms:
1 Dy 0.4150 0.5422 0.7906
2 Dy 0.0850 0.2094 0.4578
3 Dy 0.5850 0.4578 0.2094
4 Dy 0.9150 0.7906 0.5422
5 Zr 0.2500 0.1211 0.8789
6 Zr 0.7500 0.8789 0.1211
7 Ag 0.4732 0.6929 0.4211
8 Ag 0.0268 0.5789 0.3071
9 Ag 0.5268 0.3071 0.5789
10 Ag 0.9732 0.4211 0.6929
11 Ag 0.6409 0.0917 0.3417
12 Ag 0.8591 0.6583 0.9083
13 Ag 0.3591 0.9083 0.6583
14 Ag 0.1409 0.3417 0.0917
15 Ag 0.3039 0.7713 0.0137
16 Ag 0.1961 0.9863 0.2287
17 Ag 0.6961 0.2287 0.9863
18 Ag 0.8039 0.0137 0.7713

Magnetization   0.000 μB/atom
Space group   C2/c, No. 15
Formation enthalpy at 0 K   -108 meV per atom

***

Here is Er5Tl2Co after structural relaxation from Alexandria. Energies are from PBE-GGA.

a b c (Å): 4.5603 7.9802 11.6118
angles (deg): 90.00 90.00 90.00
Fractional coordinates of all 16 atoms:
1 Er 0.0000 0.0000 0.5000
2 Er 0.0000 0.5000 0.0000
3 Er 0.0000 0.8584 0.1959
4 Er 0.0000 0.1416 0.8041
5 Er 0.0000 0.6416 0.6959
6 Er 0.0000 0.3584 0.3041
7 Er 0.5000 0.6803 0.4331
8 Er 0.5000 0.3197 0.5669
9 Er 0.5000 0.8197 0.9331
10 Er 0.5000 0.1803 0.0669
11 Tl 0.5000 0.5667 0.1708
12 Tl 0.5000 0.4333 0.8292
13 Tl 0.5000 0.9333 0.6708
14 Tl 0.5000 0.0667 0.3292
15 Co 0.0000 0.5000 0.5000
16 Co 0.0000 0.0000 0.0000

Magnetization   0.000 μB/atom
Space group   Pbam, No. 55
Formation enthalpy at 0 K   -255 meV per atom

***

Here is PaHg3Te2Cl6 after structural relaxation from Alexandria. Energies are from PBE-GGA.

a b c (Å): 7.1401 7.7962 9.7270
angles (deg): 113.62 112.49 90.00
Site moments in Bohr magnetons follow the coordinates.
Fractional coordinates of all 12 atoms:
1 Pa 0.5000 0.0000 0.0000  0.16
2 Hg 0.0000 0.5000 0.0000  0.09
3 Hg 0.5000 0.5000 0.5000  0.01
4 Hg 0.5000 0.0000 0.5000  0.01
5 Te 0.2120 0.6864 0.3728  0.08
6 Te 0.7880 0.3136 0.6272  0.08
7 Cl 0.7251 0.3311 0.1939  0.00
8 Cl 0.2749 0.6689 0.8061  0.00
9 Cl 0.7306 0.9203 0.8405  0.00
10 Cl 0.2694 0.0797 0.1595  0.00
11 Cl 0.2749 0.1372 0.8061  0.00
12 Cl 0.7251 0.8628 0.1939  0.00

Magnetization   0.049 μB/atom
Space group   C2/m, No. 12

***

Here is CaLaN2 after structural relaxation from Alexandria. Energies are from PBE-GGA.

a b c (Å): 4.3879 4.3879 4.3879
angles (deg): 60.00 60.00 60.00
Site moments in Bohr magnetons follow the coordinates.
Fractional coordinates of all 4 atoms:
1 Ca 0.0000 0.0000 0.0000  -0.01
2 N 0.2500 0.2500 0.2500  0.35
3 N 0.7500 0.7500 0.7500  0.35
4 La 0.5000 0.5000 0.5000  0.01

Magnetization   0.250 μB/atom
Space group   Fm-3m, No. 225

***

Here is TaInMo after structural relaxation from Alexandria. Energies are from PBE-GGA.

a b c (Å): 4.5248 4.5248 4.5248
angles (deg): 60.00 60.00 60.00
Fractional coordinates of all 3 atoms:
1 In 0.5000 0.5000 0.5000
2 Mo 0.7500 0.7500 0.7500
3 Ta 0.0000 0.0000 0.0000

Magnetization   0.000 μB/atom
Space group   F-43m, No. 216
Formation enthalpy at 0 K   804 meV per atom

***

Here is Nd4Si2Ge5 after structural relaxation from Alexandria. Energies are from PBE-GGA.

a b c (Å): 4.3331 7.0239 8.1942
angles (deg): 88.47 90.00 90.00
Fractional coordinates of all 11 atoms:
1 Nd 0.5000 0.2469 0.6155
2 Nd 0.5000 0.7694 0.8690
3 Nd 0.5000 0.7531 0.3845
4 Nd 0.5000 0.2306 0.1310
5 Si 0.0000 0.9122 0.6256
6 Si 0.0000 0.0878 0.3744
7 Ge 0.0000 0.4412 0.3450
8 Ge 0.0000 0.8777 0.1252
9 Ge 0.0000 0.5000 0.0000
10 Ge 0.0000 0.1223 0.8748
11 Ge 0.0000 0.5588 0.6550

Magnetization   0.000 μB/atom
Space group   P2/m, No. 10

***

Here is SmPaPb after structural relaxation from Alexandria. Energies are from PBE-GGA.

a b c (Å): 3.3654 3.3654 7.9822
angles (deg): 102.17 102.17 90.00
Fractional coordinates of all 3 atoms:
1 Pb 0.6189 0.6189 0.2378
2 Pa 0.2805 0.2805 0.5610
3 Sm 0.9506 0.9506 0.9011

Magnetization   0.000 μB/atom
Space group   I4mm, No. 107
Formation enthalpy at 0 K   40 meV per atom

***

Here is Y2ErSe4 after structural relaxation from Alexandria. Energies are from PBE-GGA.

a b c (Å): 3.9483 7.0094 13.7922
angles (deg): 90.00 90.00 106.36
Fractional coordinates of all 14 atoms:
1 Y 0.1300 0.2601 0.4299
2 Y 0.8700 0.7399 0.9299
3 Y 0.1300 0.2601 0.0701
4 Y 0.8700 0.7399 0.5701
5 Er 0.6277 0.2553 0.7500
6 Er 0.3723 0.7447 0.2500
7 Se 0.7783 0.5567 0.1234
8 Se 0.7783 0.5567 0.3766
9 Se 0.2217 0.4433 0.8766
10 Se 0.2217 0.4433 0.6234
11 Se 0.9742 0.9484 0.7500
12 Se 0.0258 0.0516 0.2500
13 Se 0.5000 0.0000 0.0000
14 Se 0.5000 0.0000 0.5000

Magnetization   0.000 μB/atom
Space group   Cmcm, No. 63

***

Here is NaBeRh3 after structural relaxation from Alexandria. Energies are from PBE-GGA.

a b c (Å): 4.4394 4.4394 4.4394
angles (deg): 90.00 90.00 90.00
Fractional coordinates of all 5 atoms:
1 Na 0.0000 0.0000 0.0000
2 Rh 0.0000 0.5000 0.0000
3 Rh 0.0000 0.0000 0.5000
4 Rh 0.5000 0.0000 0.0000
5 Be 0.5000 0.5000 0.5000

Magnetization   0.000 μB/atom
Space group   Pm-3m, No. 221
Formation enthalpy at 0 K   1873 meV per atom

***

Here is Tb2CdOs after structural relaxation from Alexandria. Energies are from PBE-GGA.

a b c (Å): 3.4582 3.4582 7.8431
angles (deg): 90.00 90.00 90.00
Fractional coordinates of all 4 atoms:
1 Tb 0.0000 0.0000 0.7873
2 Tb 0.0000 0.0000 0.2127
3 Os 0.5000 0.5000 0.0000
4 Cd 0.5000 0.5000 0.5000

Magnetization   0.000 μB/atom
Space group   P4/mmm, No. 123
Formation enthalpy at 0 K   -287 meV per atom

***

Here is CaBe5Au6 after structural relaxation from Alexandria. Energies are from PBE-GGA.

a b c (Å): 3.9745 8.3584 7.6530
angles (deg): 128.52 105.05 90.00
Fractional coordinates of all 12 atoms:
1 Be 0.3381 0.9852 0.6761
2 Be 0.7199 0.7584 0.4399
3 Be 0.0000 0.5000 0.0000
4 Be 0.2801 0.2416 0.5601
5 Be 0.6619 0.0148 0.3239
6 Ca 0.0000 0.0000 0.0000
7 Au 0.2576 0.6393 0.5153
8 Au 0.1391 0.8500 0.2781
9 Au 0.5501 0.3785 0.1002
10 Au 0.4499 0.6215 0.8998
11 Au 0.8609 0.1500 0.7219
12 Au 0.7424 0.3607 0.4847

Magnetization   0.000 μB/atom
Space group   C2/m, No. 12
Formation enthalpy at 0 K   -178 meV per atom

***

Here is Re3GeAs after structural relaxation from Alexandria. Energies are from PBE-GGA.

a b c (Å): 4.5891 4.5891 4.5891
angles (deg): 90.00 90.00 90.00
Site moments in Bohr magnetons follow the coordinates.
Fractional coordinates of all 5 atoms:
1 Re 0.0000 0.5000 0.0000  0.68
2 Re 0.0000 0.0000 0.5000  0.82
3 Re 0.5000 0.0000 0.0000  0.75
4 As 0.0000 0.0000 0.0000  -0.02
5 Ge 0.5000 0.5000 0.5000  0.05

Magnetization   0.521 μB/atom
Space group   Pm-3m, No. 221
Formation enthalpy at 0 K   1767 meV per atom

***

Raw total energy values, unit eV per atom, following the record order: -6.448; -3.148; -9.635; -2.195; -10.179; -3.528; -5.709; -3.267; -3.982; -4.586; -3.361; -6.374; -7.670; -5.528; -5.934; -6.315; -3.547; -5.638; -3.536; -7.556.